Entry w
Entry from Alexandria via LeMat-Bulk: a geometry-optimized Ni3PdW structure (PBE).

Its density is 8.74 g/cm³. Its density of states at the Fermi level is 4.44 states/eV/cell. As for the total moment: 0.000 μB/cell. As for the symmetry: Pm-3m.

Cell lengths 4.4572, 4.4572, 4.4572 Å; angles 90.00, 90.00, 90.00 degrees
Element x y z (fractional)
1 Ni 0.0000 0.0000 0.5000
2 Ni 0.0000 0.5000 0.0000
3 Ni 0.5000 0.0000 0.0000
4 Pd 0.5000 0.5000 0.5000
5 W 0.0000 0.0000 0.0000



Entry x
Entry from Alexandria via LeMat-Bulk: a geometry-optimized Ni3PdW structure (PBE).

Its density is 11.23 g/cm³. Its density of states at the Fermi level is 11.64 states/eV/cell. As for the total moment: 0.000 μB/cell. As for the symmetry: P2_1/m.

Cell lengths 4.9421, 4.6835, 6.0679 Å; angles 90.00, 100.80, 90.00 degrees
Element x y z (fractional)
1 Ni 0.1056 0.2500 0.3754
2 Ni 0.3810 0.5027 0.1539
3 Ni 0.3810 0.9973 0.1539
4 Ni 0.6190 0.0027 0.8461
5 Ni 0.6190 0.4973 0.8461
6 Ni 0.8944 0.7500 0.6246
7 Pd 0.1198 0.2500 0.8003
8 Pd 0.8802 0.7500 0.1997
9 W 0.3448 0.7500 0.5180
10 W 0.6552 0.2500 0.4820



Least stable = entry w



Entry w
Entry from Alexandria via LeMat-Bulk: a geometry-optimized Y8NiPd2 structure (PBE).

Its density is 5.65 g/cm³. Its density of states at the Fermi level is 14.35 states/eV/cell. As for the total moment: 0.002 μB/cell. As for the symmetry: C2/m.

Cell lengths 9.0603, 9.0603, 6.7441 Å; angles 103.88, 103.88, 32.64 degrees
Element x y z (fractional)
1 Y 0.0323 0.0323 0.2871
2 Y 0.2043 0.2043 0.8236
3 Y 0.3371 0.3371 0.5243
4 Y 0.4108 0.4108 0.0561
5 Y 0.5892 0.5892 0.9439
6 Y 0.6629 0.6629 0.4757
7 Y 0.7957 0.7957 0.1764
8 Y 0.9677 0.9677 0.7129
9 Ni 0.5000 0.5000 0.5000
10 Pd 0.1900 0.1900 0.2313
11 Pd 0.8100 0.8100 0.7687



Entry x
Entry from Alexandria via LeMat-Bulk: a geometry-optimized Y8NiPd2 structure (PBE).

Its density is 5.33 g/cm³. Its density of states at the Fermi level is 14.56 states/eV/cell. As for the total moment: 0.003 μB/cell. As for the symmetry: Cm.

Cell lengths 7.5935, 7.5935, 6.1299 Å; angles 101.27, 101.27, 112.30 degrees
Element x y z (fractional)
1 Y 0.0000 0.0000 0.0000
2 Y 0.0144 0.2745 0.5539
3 Y 0.1507 0.5534 0.1777
4 Y 0.2745 0.0144 0.5539
5 Y 0.4390 0.6979 0.7813
6 Y 0.5534 0.1507 0.1777
7 Y 0.6979 0.4390 0.7813
8 Y 0.7111 0.7111 0.3617
9 Ni 0.3566 0.3566 0.3822
10 Pd 0.0464 0.6746 0.6819
11 Pd 0.6746 0.0464 0.6819



Least stable = entry x



Entry w
Entry from Alexandria via LeMat-Bulk: a geometry-optimized Y2Ni2Pd structure (PBE).

Its density is 7.09 g/cm³. Its density of states at the Fermi level is 6.40 states/eV/cell. As for the total moment: 0.000 μB/cell. As for the symmetry: P4/mbm.

Cell lengths 7.1503, 7.1503, 3.6776 Å; angles 90.00, 90.00, 90.00 degrees
Element x y z (fractional)
1 Y 0.1813 0.3187 0.0000
2 Y 0.3187 0.8187 0.0000
3 Y 0.6813 0.1813 0.0000
4 Y 0.8187 0.6813 0.0000
5 Ni 0.1173 0.6173 0.5000
6 Ni 0.3827 0.1173 0.5000
7 Ni 0.6173 0.8827 0.5000
8 Ni 0.8827 0.3827 0.5000
9 Pd 0.0000 0.0000 0.5000
10 Pd 0.5000 0.5000 0.5000



Entry x
Entry from Alexandria via LeMat-Bulk: a geometry-optimized Y2Ni2Pd structure (PBE).

Its density is 6.66 g/cm³. Its density of states at the Fermi level is 2.96 states/eV/cell. As for the total moment: 0.000 μB/cell. As for the symmetry: I4/mmm.

Cell lengths 5.2324, 5.2324, 5.2324 Å; angles 120.72, 120.72, 88.76 degrees
Element x y z (fractional)
1 Y 0.2500 0.7500 0.5000
2 Y 0.7500 0.2500 0.5000
3 Ni 0.1509 0.1509 0.0000
4 Ni 0.8491 0.8491 0.0000
5 Pd 0.5000 0.5000 0.0000



Least stable = entry x